# NdThPt2 (PBE-GGA, relaxed)
data_NdThPt2
_chemical_formula_sum 'Nd1 Th1 Pt2'
_cell_length_a 3.642
_cell_length_b 3.642
_cell_length_c 7.241
_cell_angle_alpha 90.00
_cell_angle_beta 90.00
_cell_angle_gamma 90.00
_space_group_name_H-M_alt 'P 4/m m m'
_space_group_IT_number 123
_space_group_name_Hall '-P 4 2'
loop_
_atom_site_label
_atom_site_type_symbol
_atom_site_fract_x
_atom_site_fract_y
_atom_site_fract_z
Nd1 Nd 0.000 0.000 0.000
Th1 Th 0.000 0.000 0.500
Pt1 Pt 0.500 0.500 0.274
# DFT formation energy, eV per atom: -1.04
# Spin magnetization, Bohr magnetons per cell: 0.00
# E_tot, eV/cell: -28.44